[1]
Entry from Alexandria via LeMat-Bulk: a relaxed CsPu2F8 crystal (PBE).

CIF file:
```
data_CsPu2F8
_chemical_formula_sum 'Cs1 Pu2 F8'
_symmetry_space_group_name_H-M 'P 1'
_symmetry_Int_Tables_number 1
_symmetry_space_group_name_Hall 'P 1'
_cell_length_a 5.530
_cell_length_b 5.530
_cell_length_c 7.323
_cell_angle_alpha 90.00
_cell_angle_beta 90.00
_cell_angle_gamma 90.00
loop_
_atom_site_label
_atom_site_fract_x
_atom_site_fract_y
_atom_site_fract_z
_atom_site_occupancy
Pu1 0.500 0.000 0.000 1
Pu2 0.000 0.500 0.000 1
F1 0.252 0.252 0.174 1
F2 0.748 0.252 0.826 1
F3 0.748 0.252 0.174 1
F4 0.748 0.748 0.174 1
F5 0.748 0.748 0.826 1
F6 0.252 0.748 0.174 1
F7 0.252 0.748 0.826 1
F8 0.252 0.252 0.826 1
Cs1 0.500 0.500 0.500 1
```

Values from the calculation:
- Energy above the lowest structure with this stoichiometry: 0.56 kcal/mol of atoms
- Calculated total energy: -82.41 eV per cell
- Uncorrected formation energy: -3.447 eV/atom

[2]
Entry from Alexandria via LeMat-Bulk: a relaxed Cs3Pu2F9 crystal (PBE).

CIF file:
```
data_Cs3Pu2F9
_chemical_formula_sum 'Cs6 Pu4 F18'
_symmetry_space_group_name_H-M 'P 1'
_symmetry_Int_Tables_number 1
_symmetry_space_group_name_Hall 'P 1'
_cell_length_a 8.577
_cell_length_b 8.577
_cell_length_c 8.577
_cell_angle_alpha 88.31
_cell_angle_beta 88.31
_cell_angle_gamma 88.31
loop_
_atom_site_label
_atom_site_fract_x
_atom_site_fract_y
_atom_site_fract_z
_atom_site_occupancy
F1 0.886 0.750 0.614 1
F2 0.918 0.259 0.066 1
F3 0.066 0.918 0.259 1
F4 0.259 0.066 0.918 1
F5 0.082 0.741 0.934 1
F6 0.418 0.566 0.759 1
F7 0.434 0.241 0.582 1
F8 0.741 0.934 0.082 1
F9 0.614 0.886 0.750 1
F10 0.386 0.114 0.250 1
F11 0.566 0.759 0.418 1
F12 0.750 0.614 0.886 1
F13 0.114 0.250 0.386 1
F14 0.759 0.418 0.566 1
F15 0.250 0.386 0.114 1
F16 0.241 0.582 0.434 1
F17 0.582 0.434 0.241 1
F18 0.934 0.082 0.741 1
Pu1 0.136 0.136 0.136 1
Pu2 0.364 0.364 0.364 1
Pu3 0.864 0.864 0.864 1
Pu4 0.636 0.636 0.636 1
Cs1 0.416 0.750 0.084 1
Cs2 0.750 0.084 0.416 1
Cs3 0.250 0.916 0.584 1
Cs4 0.084 0.416 0.750 1
Cs5 0.584 0.250 0.916 1
Cs6 0.916 0.584 0.250 1
```

Values from the calculation:
- Calculated total energy: -185.94 eV per cell
- Uncorrected formation energy: -3.207 eV/atom

- What is the calculated total energy in the second record?
  -185.94 eV per cell

- Number 2 is which compound?
  Cs3Pu2F9